# 1
{"formula": "RbLaCd", "functional": "PBE-GGA", "state": "optimized geometry", "mass_density_kg_m3": 4300, "final_energy_ev_per_atom": -1.872, "vol_a3_per_atom": 43.35, "crystal_system": "cubic", "lattice_angstrom": [[0.000, 4.021, 4.021], [4.021, 0.000, 4.021], [4.021, 4.021, 0.000]], "species": ["Cd", "Rb", "La"], "fractional_positions": [[0.000, 0.000, 0.000], [0.750, 0.750, 0.750], [0.250, 0.250, 0.250]]}

# 2
{"formula": "RbLaCdSe3", "functional": "PBE-GGA", "state": "optimized geometry", "mass_density_kg_m3": 4708, "final_energy_ev_per_atom": -4.260, "vol_a3_per_atom": 33.72, "crystal_system": "monoclinic", "lattice_angstrom": [[8.853, 0.000, 0.000], [0.000, 4.418, 0.000], [-3.308, 0.000, 10.345]], "species": ["Cd", "Cd", "Se", "Se", "Se", "Se", "Se", "Se", "La", "La", "Rb", "Rb"], "fractional_positions": [[0.081, 0.250, 0.611], [0.919, 0.750, 0.389], [0.932, 0.750, 0.151], [0.228, 0.750, 0.556], [0.772, 0.250, 0.444], [0.068, 0.250, 0.849], [0.530, 0.250, 0.852], [0.470, 0.750, 0.148], [0.693, 0.250, 0.132], [0.307, 0.750, 0.868], [0.741, 0.750, 0.722], [0.259, 0.250, 0.278]]}

# 3
{"formula": "RbLaCdSe3", "functional": "PBE-GGA", "state": "optimized geometry", "mass_density_kg_m3": 5077, "final_energy_ev_per_atom": -4.184, "vol_a3_per_atom": 31.27, "crystal_system": "monoclinic", "lattice_angstrom": [[1.221, 9.213, 1.771], [-2.320, 8.127, 4.251], [5.676, -4.299, 6.220]], "species": ["La", "La", "Se", "Se", "Se", "Se", "Se", "Se", "Cd", "Cd", "Rb", "Rb"], "fractional_positions": [[0.830, 0.830, 0.909], [0.170, 0.170, 0.091], [0.338, 0.338, 0.129], [0.662, 0.662, 0.871], [0.661, 0.661, 0.293], [0.339, 0.339, 0.707], [0.500, 0.500, 0.500], [0.000, 0.000, 0.000], [0.506, 0.506, 0.219], [0.494, 0.494, 0.781], [0.859, 0.859, 0.431], [0.141, 0.141, 0.569]]}

# 4
{"formula": "RbLaCdTe3", "functional": "PBE-GGA", "state": "optimized geometry", "mass_density_kg_m3": 4986, "final_energy_ev_per_atom": -3.829, "vol_a3_per_atom": 39.94, "crystal_system": "monoclinic", "lattice_angstrom": [[-5.760, 7.314, -1.637], [-0.381, -1.302, -4.481], [-6.477, -8.785, 3.104]], "species": ["Te", "Te", "Te", "Te", "Te", "Te", "Cd", "Cd", "Rb", "Rb", "La", "La"], "fractional_positions": [[0.468, 0.750, 0.156], [0.771, 0.250, 0.446], [0.532, 0.250, 0.844], [0.934, 0.750, 0.141], [0.066, 0.250, 0.859], [0.229, 0.750, 0.554], [0.080, 0.250, 0.613], [0.920, 0.750, 0.387], [0.748, 0.750, 0.719], [0.252, 0.250, 0.281], [0.308, 0.750, 0.867], [0.692, 0.250, 0.133]]}

# 5
{"formula": "RbLaCdTe3", "functional": "PBE-GGA", "state": "optimized geometry", "mass_density_kg_m3": 5260, "final_energy_ev_per_atom": -3.727, "vol_a3_per_atom": 37.86, "crystal_system": "monoclinic", "lattice_angstrom": [[-6.750, 5.656, -5.099], [-7.415, 1.305, -6.846], [-4.868, -2.603, 8.342]], "species": ["Te", "Te", "Te", "Te", "Te", "Te", "Rb", "Rb", "La", "La", "Cd", "Cd"], "fractional_positions": [[0.335, 0.335, 0.699], [0.339, 0.339, 0.134], [0.000, 0.000, 0.000], [0.661, 0.661, 0.866], [0.500, 0.500, 0.500], [0.665, 0.665, 0.301], [0.860, 0.860, 0.428], [0.140, 0.140, 0.572], [0.828, 0.828, 0.910], [0.172, 0.172, 0.090], [0.512, 0.512, 0.217], [0.488, 0.488, 0.783]]}

# 6
{"formula": "LaCdRe", "functional": "PBE-GGA", "state": "optimized geometry", "mass_density_kg_m3": 8499, "vol_a3_per_atom": 28.49, "e_form_ev_per_atom": 1.36, "crystal_system": "cubic", "lattice_angstrom": [[4.669, -1.627, 0.018], [2.895, 0.837, 3.920], [1.302, -3.744, 2.956]], "species": ["La", "Cd", "Re"], "fractional_positions": [[0.000, 0.000, 0.000], [0.250, 0.250, 0.250], [0.750, 0.750, 0.750]]}